Entry 1:
The following is a DFT calculation (PBE) of a relaxed structure of Sr4Hg5Au2.

Results
The symmetry is P2/m, No. 10. For the energy of formation, the calculation gives -560 meV per atom.

Unit cell a=7.9846 b=4.2307 c=9.8607 alpha=90.00 beta=94.05 gamma=90.00
Last column: nearest neighbours and their distance in Å.
Element x y z (fractional)
Sr 0.1983 0.0000 0.3652  2 Au 3.21, 8 Hg 3.40-3.56
Sr 0.2432 0.0000 0.9238  4 Au 3.30-3.34, 6 Hg 3.45-3.54
Sr 0.7568 0.0000 0.0762  4 Au 3.30-3.34, 6 Hg 3.45-3.54
Sr 0.8017 0.0000 0.6348  2 Au 3.21, 8 Hg 3.40-3.56
Hg 0.1600 0.5000 0.6397  1 Au 2.98, 1 Hg 3.13
Hg 0.4451 0.5000 0.1723  1 Au 2.98, 1 Hg 3.23
Hg 0.5000 0.5000 0.5000  4 Hg 3.13-3.23, 4 Sr 3.40
Hg 0.5549 0.5000 0.8277  1 Au 2.98, 1 Hg 3.23
Hg 0.8400 0.5000 0.3603  1 Au 2.98, 1 Hg 3.13
Au 0.0710 0.5000 0.1364  1 Au 2.84, 2 Hg 2.98
Au 0.9290 0.5000 0.8636  1 Au 2.84, 2 Hg 2.98

---

Entry 2:
The following is a DFT calculation (PBE) of a relaxed structure of ZrTi2ZnC.

Results
The symmetry is P4/mmm, No. 123. For the energy of formation, the calculation gives -446 meV per atom.

Unit cell a=4.1999 b=4.1999 c=4.4982 alpha=90.00 beta=90.00 gamma=90.00
Last column: nearest neighbours and their distance in Å.
Element x y z (fractional)
Zr 0.0000 0.0000 0.0000  2 C 2.25
Ti 0.0000 0.5000 0.5000  2 C 2.10
Ti 0.5000 0.0000 0.5000  2 C 2.10
Zn 0.5000 0.5000 0.0000  4 Zr 2.97, 8 Ti 3.08
C 0.0000 0.0000 0.5000  4 Ti 2.10, 2 Zr 2.25

---

Entry 3:
The following is a DFT calculation (PBE) of a relaxed structure of Ce7Sb2.

Results
Its formation energy from raw total energies is -0.40 eV per atom. The symmetry is P-1, No. 2.

Unit cell a=5.4346 b=5.4512 c=9.3691 alpha=85.18 beta=89.81 gamma=60.22
Last column: nearest neighbours and their distance in Å.
Element x y z (fractional)
Ce 0.0000 0.0000 0.0000  2 Ce 2.92
Ce 0.0247 0.9561 0.6908  2 Ce 2.75-2.92
Ce 0.3110 0.3800 0.7691  2 Ce 2.72-2.75
Ce 0.3467 0.3030 0.4847  2 Ce 2.72-2.85
Ce 0.6533 0.6970 0.5153  2 Ce 2.72-2.85
Ce 0.6890 0.6200 0.2309  2 Ce 2.72-2.75
Ce 0.9753 0.0439 0.3092  2 Ce 2.75-2.92
Sb 0.3439 0.3104 0.1368  10 Ce 3.25-3.43
Sb 0.6561 0.6896 0.8632  10 Ce 3.25-3.43

---

Entry 4:
The following is a DFT calculation (PBE) of a relaxed structure of Be2TcNi2.

Results
The symmetry is P4/mbm, No. 127. For the energy of formation, the calculation gives -252 meV per atom. For the energy above the most stable polymorph in this dataset, the calculation gives 0.0 meV per atom.

Unit cell a=6.3661 b=6.3661 c=2.5191 alpha=90.00 beta=90.00 gamma=90.00
Last column: nearest neighbours and their distance in Å.
Element x y z (fractional)
Be 0.1279 0.3721 0.0000  6 Ni 2.24-2.27, 1 Be 2.30, 2 Tc 2.50
Be 0.3721 0.8721 0.0000  6 Ni 2.24-2.27, 1 Be 2.30, 2 Tc 2.50
Be 0.6279 0.1279 0.0000  6 Ni 2.24-2.27, 1 Be 2.30, 2 Tc 2.50
Be 0.8721 0.6279 0.0000  6 Ni 2.24-2.27, 1 Be 2.30, 2 Tc 2.50
Tc 0.0000 0.0000 0.0000  4 Be 2.50, 2 Tc 2.52, 8 Ni 2.69
Tc 0.5000 0.5000 0.0000  4 Be 2.50, 2 Tc 2.52, 8 Ni 2.69
Ni 0.1658 0.6658 0.5000  6 Be 2.24-2.27
Ni 0.3342 0.1658 0.5000  6 Be 2.24-2.27
Ni 0.6658 0.8342 0.5000  6 Be 2.24-2.27
Ni 0.8342 0.3342 0.5000  6 Be 2.24-2.27